The following is a PBE calculation of a relaxed structure of NbB3C, from Alexandria via LeMat-Bulk.

Lattice parameters (Å, degrees): 3.5236 3.5236 3.5236 90.00 90.00 90.00
Last column: nearest neighbours and their distance in Å.
Positions (direct):
1 Nb 0.0000 0.0000 0.0000  12 B 2.49
2 B 0.0000 0.5000 0.5000  2 C 1.76
3 B 0.5000 0.0000 0.5000  2 C 1.76
4 B 0.5000 0.5000 0.0000  2 C 1.76
5 C 0.5000 0.5000 0.5000  6 B 1.76

Output
As for the symmetry: Pm-3m, No. 221. The energy relative to the lowest polymorph listed for this composition comes out at 0.0 meV/atom.

The following is a PBE calculation of a relaxed structure of NbBC3, from Alexandria via LeMat-Bulk.

Lattice parameters (Å, degrees): 3.4750 3.4750 3.4750 90.00 90.00 90.00
Last column: nearest neighbours and their distance in Å.
Positions (direct):
1 Nb 0.0000 0.0000 0.0000  12 C 2.46
2 B 0.5000 0.5000 0.5000  6 C 1.74
3 C 0.0000 0.5000 0.5000  2 B 1.74
4 C 0.5000 0.0000 0.5000  2 B 1.74
5 C 0.5000 0.5000 0.0000  2 B 1.74

Output
As for the symmetry: Pm-3m, No. 221. The energy relative to the lowest polymorph listed for this composition comes out at 0.0 meV/atom.

The following is a PBE calculation of a relaxed structure of NbBC3, from Alexandria via LeMat-Bulk.

Lattice parameters (Å, degrees): 4.2039 4.2039 4.2039 90.00 90.00 90.00
Last column: nearest neighbours and their distance in Å.
Positions (direct):
1 Nb 0.0000 0.0000 0.0000  6 C 2.10
2 B 0.5000 0.5000 0.5000  12 C 2.97
3 C 0.0000 0.0000 0.5000  2 Nb 2.10
4 C 0.0000 0.5000 0.0000  2 Nb 2.10
5 C 0.5000 0.0000 0.0000  2 Nb 2.10

Output
As for the symmetry: Pm-3m, No. 221. The energy relative to the lowest polymorph listed for this composition comes out at 1149.9 meV/atom.

The following is a PBE calculation of a relaxed structure of Nb6B3C, from Alexandria via LeMat-Bulk.

Lattice parameters (Å, degrees): 9.5749 3.2068 9.7801 90.00 114.21 90.00
Last column: nearest neighbours and their distance in Å.
Positions (direct):
1 Nb 0.0491 0.2500 0.4064  3 C 2.29-2.51, 2 B 2.31
2 Nb 0.1079 0.7500 0.9474  3 B 2.21-2.27
3 Nb 0.2404 0.2500 0.7551  3 B 2.26-2.29, 2 C 2.36
4 Nb 0.2397 0.7500 0.2688  3 B 2.24-2.29
5 Nb 0.3995 0.2500 0.5649  3 B 2.26-2.28, 2 C 2.50
6 Nb 0.4420 0.2500 0.1115  4 B 2.25-2.34
7 Nb 0.5580 0.7500 0.8885  4 B 2.25-2.34
8 Nb 0.6005 0.7500 0.4351  3 B 2.26-2.28, 2 C 2.50
9 Nb 0.7603 0.2500 0.7312  3 B 2.24-2.29
10 Nb 0.7596 0.7500 0.2449  3 B 2.26-2.29, 2 C 2.36
11 Nb 0.8921 0.2500 0.0526  3 B 2.21-2.27
12 Nb 0.9509 0.7500 0.5936  3 C 2.29-2.51, 2 B 2.31
13 B 0.0155 0.2500 0.7789  6 Nb 2.21-2.31
14 B 0.3404 0.7500 0.9364  6 Nb 2.25-2.32
15 B 0.4192 0.2500 0.3403  6 Nb 2.24-2.34
16 B 0.5808 0.7500 0.6597  6 Nb 2.24-2.34
17 B 0.6596 0.2500 0.0636  6 Nb 2.25-2.32
18 B 0.9845 0.7500 0.2211  6 Nb 2.21-2.31
19 C 0.2000 0.7500 0.5660  7 Nb 2.29-2.51
20 C 0.8000 0.2500 0.4340  7 Nb 2.29-2.51

Output
As for the symmetry: P2_1/m, No. 11.

The following is a PBE calculation of a relaxed structure of Nb3B3C, from Alexandria via LeMat-Bulk.

Lattice parameters (Å, degrees): 14.4734 14.4734 3.1503 90.00 90.00 166.94
Last column: nearest neighbours and their distance in Å.
Positions (direct):
1 Nb 0.0467 0.9533 0.7500  12 B 2.43-2.51
2 Nb 0.1379 0.8621 0.2500  1 C 2.14, 6 B 2.37-2.39
3 Nb 0.2876 0.7124 0.2500  5 C 2.17-2.28
4 Nb 0.7124 0.2876 0.7500  5 C 2.17-2.28
5 Nb 0.8621 0.1379 0.7500  1 C 2.14, 6 B 2.37-2.39
6 Nb 0.9533 0.0467 0.2500  12 B 2.43-2.51
7 B 0.3875 0.6125 0.2500  2 B 1.85
8 B 0.4213 0.5787 0.7500  3 B 1.82-1.85
9 B 0.4845 0.5155 0.7500  3 B 1.81-1.82
10 B 0.5155 0.4845 0.2500  3 B 1.81-1.82
11 B 0.5787 0.4213 0.2500  3 B 1.82-1.85
12 B 0.6125 0.3875 0.7500  2 B 1.85
13 C 0.2123 0.7877 0.2500  6 Nb 2.14-2.28
14 C 0.7877 0.2123 0.7500  6 Nb 2.14-2.28

Output
As for the symmetry: Cmcm, No. 63.

The following is a PBE calculation of a relaxed structure of Nb4B3C2, from Alexandria via LeMat-Bulk.

Lattice parameters (Å, degrees): 18.9221 18.9221 3.1654 90.00 90.00 170.10
Last column: nearest neighbours and their distance in Å.
Positions (direct):
1 Nb 0.0356 0.9644 0.7500  12 B 2.43-2.49
2 Nb 0.1054 0.8946 0.2500  1 C 2.13, 2 B 2.37
3 Nb 0.2194 0.7806 0.2500  6 C 2.17-2.28
4 Nb 0.3378 0.6622 0.2500  5 C 2.19-2.27
5 Nb 0.6622 0.3378 0.7500  5 C 2.19-2.27
6 Nb 0.7806 0.2194 0.7500  6 C 2.17-2.28
7 Nb 0.8946 0.1054 0.7500  1 C 2.13, 2 B 2.37
8 Nb 0.9644 0.0356 0.2500  12 B 2.43-2.49
9 B 0.4144 0.5856 0.2500  2 B 1.86
10 B 0.4401 0.5599 0.7500  3 B 1.81-1.86
11 B 0.4881 0.5119 0.7500  3 B 1.81-1.82
12 B 0.5119 0.4881 0.2500  3 B 1.81-1.82
13 B 0.5599 0.4401 0.2500  3 B 1.81-1.86
14 B 0.5856 0.4144 0.7500  2 B 1.86
15 C 0.1618 0.8382 0.2500  6 Nb 2.13-2.27
16 C 0.2798 0.7202 0.2500  6 Nb 2.19-2.28
17 C 0.7202 0.2798 0.7500  6 Nb 2.19-2.28
18 C 0.8382 0.1618 0.7500  6 Nb 2.13-2.27

Output
As for the symmetry: Cmcm, No. 63.

The following is a PBE calculation of a relaxed structure of Nb6B2C, from Alexandria via LeMat-Bulk.

Lattice parameters (Å, degrees): 5.2534 5.2534 9.8763 90.00 90.00 90.00
Last column: nearest neighbours and their distance in Å.
Positions (direct):
1 Nb 0.2025 0.2025 0.1638  1 C 2.21, 2 B 2.21-2.25
2 Nb 0.2025 0.2025 0.8362  1 C 2.21, 2 B 2.21-2.25
3 Nb 0.2086 0.2086 0.5000  1 C 2.17, 2 B 2.26
4 Nb 0.2914 0.7086 0.0000  1 C 2.17, 2 B 2.26
5 Nb 0.2975 0.7025 0.3362  1 C 2.21, 2 B 2.21-2.25
6 Nb 0.2975 0.7025 0.6638  1 C 2.21, 2 B 2.21-2.25
7 Nb 0.7025 0.2975 0.3362  1 C 2.21, 2 B 2.21-2.25
8 Nb 0.7025 0.2975 0.6638  1 C 2.21, 2 B 2.21-2.25
9 Nb 0.7086 0.2914 0.0000  1 C 2.17, 2 B 2.26
10 Nb 0.7914 0.7914 0.5000  1 C 2.17, 2 B 2.26
11 Nb 0.7975 0.7975 0.1638  1 C 2.21, 2 B 2.21-2.25
12 Nb 0.7975 0.7975 0.8362  1 C 2.21, 2 B 2.21-2.25
13 B 0.0000 0.0000 0.3336  6 Nb 2.21-2.26
14 B 0.0000 0.0000 0.6664  6 Nb 2.21-2.26
15 B 0.5000 0.5000 0.1664  6 Nb 2.21-2.26
16 B 0.5000 0.5000 0.8336  6 Nb 2.21-2.26
17 C 0.0000 0.0000 0.0000  6 Nb 2.17-2.21
18 C 0.5000 0.5000 0.5000  6 Nb 2.17-2.21

Output
As for the symmetry: P4_2/mnm, No. 136.

The following is a PBE calculation of a relaxed structure of NbB2C2, from Alexandria via LeMat-Bulk.

Lattice parameters (Å, degrees): 5.4304 5.4304 5.4304 150.02 150.02 42.92
Last column: nearest neighbours and their distance in Å.
Positions (direct):
1 Nb 0.0000 0.0000 0.0000  8 C 2.54, 4 Nb 2.81
2 B 0.2500 0.7500 0.5000  4 C 1.70
3 B 0.7500 0.2500 0.5000  4 C 1.70
4 C 0.3439 0.3439 0.0000  4 B 1.70
5 C 0.6561 0.6561 0.0000  4 B 1.70

Output
As for the symmetry: I4/mmm, No. 139.

The following is a PBE calculation of a relaxed structure of Nb2BC, from Alexandria via LeMat-Bulk.

Lattice parameters (Å, degrees): 9.3128 9.3128 3.1563 90.00 90.00 160.02
Last column: nearest neighbours and their distance in Å.
Positions (direct):
1 Nb 0.0719 0.9281 0.7500  1 C 2.15, 2 B 2.40
2 Nb 0.3076 0.6924 0.7500  5 C 2.17-2.26
3 Nb 0.6924 0.3076 0.2500  5 C 2.17-2.26
4 Nb 0.9281 0.0719 0.2500  1 C 2.15, 2 B 2.40
5 B 0.4750 0.5250 0.7500  2 B 1.83
6 B 0.5250 0.4750 0.2500  2 B 1.83
7 C 0.1893 0.8107 0.7500  6 Nb 2.15-2.26
8 C 0.8107 0.1893 0.2500  6 Nb 2.15-2.26

Output
As for the symmetry: Cmcm, No. 63. The energy relative to the lowest polymorph listed for this composition comes out at 0.0 meV/atom.

The following is a PBE calculation of a relaxed structure of NbB2C2, from Alexandria via LeMat-Bulk.

Lattice parameters (Å, degrees): 5.5791 5.5791 2.7155 90.00 90.00 90.00
Last column: nearest neighbours and their distance in Å.
Positions (direct):
1 Nb 0.0000 0.0000 0.0000  4 C 2.26
2 Nb 0.5000 0.5000 0.0000  4 C 2.26
3 B 0.1155 0.3845 0.5000  1 B 1.82, 4 C 1.85
4 B 0.3845 0.8845 0.5000  1 B 1.82, 4 C 1.85
5 B 0.6155 0.1155 0.5000  1 B 1.82, 4 C 1.85
6 B 0.8845 0.6155 0.5000  1 B 1.82, 4 C 1.85
7 C 0.1097 0.6097 0.0000  1 C 1.73, 4 B 1.85
8 C 0.3903 0.1097 0.0000  1 C 1.73, 4 B 1.85
9 C 0.6097 0.8903 0.0000  1 C 1.73, 4 B 1.85
10 C 0.8903 0.3903 0.0000  1 C 1.73, 4 B 1.85

Output
As for the symmetry: P4/mbm, No. 127.

The following is a PBE calculation of a relaxed structure of Nb2BC, from Alexandria via LeMat-Bulk.

Lattice parameters (Å, degrees): 4.6694 3.0881 6.6102 90.00 110.60 90.00
Last column: nearest neighbours and their distance in Å.
Positions (direct):
1 Nb 0.2138 0.2500 0.4240  3 C 2.38-2.39, 4 B 2.40-2.60
2 Nb 0.2162 0.2500 0.9330  3 C 2.38, 3 B 2.39-2.40
3 Nb 0.7838 0.7500 0.0670  3 C 2.38, 3 B 2.39-2.40
4 Nb 0.7862 0.7500 0.5760  3 C 2.38-2.39, 4 B 2.40-2.60
5 B 0.3810 0.7500 0.7200  2 C 1.82
6 B 0.6190 0.2500 0.2800  2 C 1.82
7 C 0.3980 0.7500 0.2253  2 B 1.82
8 C 0.6020 0.2500 0.7747  2 B 1.82

Output
As for the symmetry: P2_1/m, No. 11. The energy relative to the lowest polymorph listed for this composition comes out at 325.9 meV/atom.

The following is a PBE calculation of a relaxed structure of Nb2BC, from Alexandria via LeMat-Bulk.

Lattice parameters (Å, degrees): 6.0503 6.0503 6.0503 131.74 131.74 70.64
Last column: nearest neighbours and their distance in Å.
Positions (direct):
1 Nb 0.1095 0.6250 0.9845  2 C 2.10, 2 B 2.19
2 Nb 0.3750 0.3595 0.4845  2 C 2.10, 2 B 2.19
3 Nb 0.6405 0.1250 0.0155  2 C 2.10, 2 B 2.19
4 Nb 0.8750 0.8905 0.5155  2 C 2.10, 2 B 2.19
5 B 0.2500 0.7500 0.5000  4 Nb 2.19
6 B 0.5000 0.5000 0.0000  4 Nb 2.19
7 C 0.0000 0.0000 0.0000  4 Nb 2.10
8 C 0.7500 0.2500 0.5000  4 Nb 2.10

Output
As for the symmetry: I-42d, No. 122. The energy relative to the lowest polymorph listed for this composition comes out at 936.2 meV/atom.

The following is a PBE calculation of a relaxed structure of Nb2BC, from Alexandria via LeMat-Bulk.

Lattice parameters (Å, degrees): 5.6045 5.6045 5.6045 33.41 33.41 33.41
Last column: nearest neighbours and their distance in Å.
Positions (direct):
1 Nb 0.2482 0.2482 0.2482  3 C 2.27, 3 B 2.30
2 Nb 0.7518 0.7518 0.7518  3 C 2.27, 3 B 2.30
3 B 0.0000 0.0000 0.0000  6 Nb 2.30
4 C 0.5000 0.5000 0.5000  6 Nb 2.27

Output
As for the symmetry: R-3m, No. 166. The energy relative to the lowest polymorph listed for this composition comes out at 99.6 meV/atom.

The following is a PBE calculation of a relaxed structure of Nb2BC, from Alexandria via LeMat-Bulk.

Lattice parameters (Å, degrees): 4.0355 4.0355 4.0355 60.00 60.00 60.00
Last column: nearest neighbours and their distance in Å.
Positions (direct):
1 Nb 0.2500 0.2500 0.2500  4 C 2.47, 4 B 2.47
2 Nb 0.7500 0.7500 0.7500  4 B 2.47, 4 C 2.47
3 B 0.0000 0.0000 0.0000  8 Nb 2.47
4 C 0.5000 0.5000 0.5000  8 Nb 2.47

Output
As for the symmetry: Fm-3m, No. 225. The energy relative to the lowest polymorph listed for this composition comes out at 1053.7 meV/atom.

The following is a PBE calculation of a relaxed structure of Nb7B6C3, from Alexandria via LeMat-Bulk.

Lattice parameters (Å, degrees): 16.7044 16.7044 3.2728 90.00 90.00 169.15
Last column: nearest neighbours and their distance in Å.
Positions (direct):
1 Nb 0.0000 0.0000 0.0000  6 C 2.21-2.27
2 Nb 0.1306 0.8694 0.0000  1 C 2.13, 2 B 2.36
3 Nb 0.2904 0.7096 0.0000  12 B 2.43-2.50
4 Nb 0.4340 0.5660 0.5000  5 C 2.19-2.27
5 Nb 0.5660 0.4340 0.5000  5 C 2.19-2.27
6 Nb 0.7096 0.2904 0.0000  12 B 2.43-2.50
7 Nb 0.8694 0.1306 0.0000  1 C 2.13, 2 B 2.36
8 B 0.1819 0.8181 0.5000  3 B 1.81-1.85
9 B 0.2365 0.7635 0.5000  3 B 1.81-1.82
10 B 0.3473 0.6527 0.5000  2 B 1.85
11 B 0.6527 0.3473 0.5000  2 B 1.85
12 B 0.7635 0.2365 0.5000  3 B 1.81-1.82
13 B 0.8181 0.1819 0.5000  3 B 1.81-1.85
14 C 0.0666 0.9334 0.0000  6 Nb 2.13-2.27
15 C 0.5000 0.5000 0.5000  6 Nb 2.19-2.27
16 C 0.9334 0.0666 0.0000  6 Nb 2.13-2.27

Output
As for the symmetry: Cmmm, No. 65.

The following is a PBE calculation of a relaxed structure of NbBC2, from Alexandria via LeMat-Bulk.

Lattice parameters (Å, degrees): 4.5097 4.5097 4.5097 111.04 111.04 106.37
Last column: nearest neighbours and their distance in Å.
Positions (direct):
1 Nb 0.0000 0.0000 0.0000  8 C 2.27-2.52
2 Nb 0.7500 0.2500 0.5000  8 C 2.27-2.52
3 B 0.2500 0.7500 0.5000  4 C 1.65
4 B 0.5000 0.5000 0.0000  4 C 1.65
5 C 0.2193 0.1250 0.5943  2 B 1.65
6 C 0.3750 0.7807 0.9057  2 B 1.65
7 C 0.5307 0.6250 0.4057  2 B 1.65
8 C 0.8750 0.4693 0.0943  2 B 1.65

Output
As for the symmetry: I-42d, No. 122.

The following is a PBE calculation of a relaxed structure of NbB3C, from Alexandria via LeMat-Bulk.

Lattice parameters (Å, degrees): 4.2687 4.2687 4.2687 90.00 90.00 90.00
Last column: nearest neighbours and their distance in Å.
Positions (direct):
1 Nb 0.0000 0.0000 0.0000  6 B 2.13
2 B 0.0000 0.0000 0.5000  2 Nb 2.13
3 B 0.0000 0.5000 0.0000  2 Nb 2.13
4 B 0.5000 0.0000 0.0000  2 Nb 2.13
5 C 0.5000 0.5000 0.5000  12 B 3.02

Output
As for the symmetry: Pm-3m, No. 221. The energy relative to the lowest polymorph listed for this composition comes out at 1596.2 meV/atom.

The following is a PBE calculation of a relaxed structure of Nb4BC, from Alexandria via LeMat-Bulk.

Lattice parameters (Å, degrees): 6.2987 5.0361 6.3695 90.00 119.58 90.00
Last column: nearest neighbours and their distance in Å.
Positions (direct):
1 Nb 0.1676 0.2382 0.3461  2 C 2.20-2.26, 1 B 2.25
2 Nb 0.1676 0.2618 0.8461  2 C 2.20-2.26, 1 B 2.25
3 Nb 0.3195 0.7421 0.1506  1 C 2.18, 2 B 2.23-2.29
4 Nb 0.3195 0.7579 0.6506  1 C 2.18, 2 B 2.23-2.29
5 Nb 0.6805 0.2421 0.3494  1 C 2.18, 2 B 2.23-2.29
6 Nb 0.6805 0.2579 0.8494  1 C 2.18, 2 B 2.23-2.29
7 Nb 0.8324 0.7382 0.1539  2 C 2.20-2.26, 1 B 2.25
8 Nb 0.8324 0.7618 0.6539  2 C 2.20-2.26, 1 B 2.25
9 B 0.5000 0.0000 0.0000  6 Nb 2.23-2.29
10 B 0.5000 0.5000 0.5000  6 Nb 2.23-2.29
11 C 0.0000 0.0000 0.0000  6 Nb 2.18-2.26
12 C 0.0000 0.5000 0.5000  6 Nb 2.18-2.26

Output
As for the symmetry: P2_1/c, No. 14.

The following is a PBE calculation of a relaxed structure of NbBPd2C, from Alexandria via LeMat-Bulk.

Lattice parameters (Å, degrees): 4.9817 4.9817 3.9837 90.00 90.00 90.00
Last column: nearest neighbours and their distance in Å.
Positions (direct):
1 Nb 0.0000 0.0000 0.0000  2 C 1.99
2 B 0.5000 0.5000 0.5000  8 Pd 3.19, 4 C 3.52
3 Pd 0.0000 0.5000 0.0000  2 Nb 2.49
4 Pd 0.5000 0.0000 0.0000  2 Nb 2.49
5 C 0.0000 0.0000 0.5000  2 Nb 1.99

Output
As for the symmetry: P4/mmm, No. 123.

The following is a PBE calculation of a relaxed structure of NbBPdC2, from Alexandria via LeMat-Bulk.

Lattice parameters (Å, degrees): 4.1418 4.1418 4.3425 90.00 90.00 90.00
Last column: nearest neighbours and their distance in Å.
Positions (direct):
1 Nb 0.0000 0.0000 0.0000  4 C 2.07, 2 B 2.17
2 B 0.0000 0.0000 0.5000  2 Nb 2.17
3 Pd 0.5000 0.5000 0.5000  4 B 2.93, 8 C 3.00
4 C 0.0000 0.5000 0.0000  2 Nb 2.07
5 C 0.5000 0.0000 0.0000  2 Nb 2.07

Output
As for the symmetry: P4/mmm, No. 123.

| no. | D(E_F) (states/eV per cell) | calculated formation energy (kJ per mole of atoms) |
| --- | --- | --- |
| 1 | 2.47 | 130 |
| 2 | 2.68 | 166 |
| 3 | 3.21 | 277 |
| 4 | 9.43 | -34 |
| 5 | 5.93 | -65 |
| 6 | 3.85 | -62 |
| 7 | 7.77 | -31 |
| 8 | 1.51 | 60 |
| 9 | 3.10 | -61 |
| 10 | 2.66 | 107 |
| 11 | 3.50 | -30 |
| 12 | 5.62 | 29 |
| 13 | 1.25 | -51 |
| 14 | 4.10 | 41 |
| 15 | 3.40 | -64 |
| 16 | 0.55 | 32 |
| 17 | 6.65 | 284 |
| 18 | 9.17 | -37 |
| 19 | 3.35 | 202 |
| 20 | 3.19 | 186 |